# 1
Li3CeBi2 after structural relaxation. Source: Alexandria via LeMat-Bulk, functional GGA-PBEsol.

The calculation puts the final energy at -0.305 Ry/atom. The formation energy is -0.63 eV per atom.

The structure belongs to space group P-3m1 (No. 164); the cell edges are 4.6470, 4.6470 and 7.3649 Å and the angles 90.00°, 90.00° and 120.00°. The inequivalent atoms are Li at (0.0000, 0.0000, 0.0000), Li at (0.3333, 0.6667, 0.8508), Ce at (0.0000, 0.0000, 0.5000) and Bi at (0.3333, 0.6667, 0.2495).

---

# 2
Ce4Ni3Bi8 after structural relaxation. Source: Alexandria via LeMat-Bulk, functional GGA-PBEsol.

The calculation puts the final energy at -0.427 Ry/atom. The formation energy is -0.54 eV per atom.

The structure belongs to space group P-4m2 (No. 115); the cell edges are 4.498, 4.498 and 18.362 Å and the angles 90.00°, 90.00° and 90.00°. The inequivalent atoms are Ce at (0.000, 0.500, 0.108), Ce at (0.000, 0.500, 0.611), Ni at (0.000, 0.000, 0.500), Ni at (0.500, 0.500, 0.000), Ni at (0.500, 0.500, 0.500), Bi at (0.000, 0.000, 0.248), Bi at (0.000, 0.500, 0.421), Bi at (0.000, 0.500, 0.925) and Bi at (0.500, 0.500, 0.248).

---

# 3
Ce4Ni4Bi3Sb5 after structural relaxation. Source: Alexandria via LeMat-Bulk, functional GGA-PBEsol.

The calculation puts the final energy at -0.448 Ry/atom. The energy relative to the elements, uncorrected is -682 meV per atom.

The structure belongs to space group P-4m2 (No. 115); the cell edges are 4.392, 4.392 and 18.641 Å and the angles 90.00°, 90.00° and 90.00°. The inequivalent atoms are Ce at (0.000, 0.500, 0.136), Ce at (0.000, 0.500, 0.639), Ni at (0.000, 0.000, 0.249), Ni at (0.500, 0.500, 0.249), Bi at (0.000, 0.000, 0.000), Bi at (0.000, 0.000, 0.500), Bi at (0.500, 0.500, 0.500), Sb at (0.000, 0.500, 0.321), Sb at (0.000, 0.500, 0.824) and Sb at (0.500, 0.500, 0.000).

---

# 4
CeBiS2O after structural relaxation. Source: Alexandria via LeMat-Bulk, functional GGA-PBEsol.

The calculation puts the final energy at -0.493 Ry/atom. The energy relative to the elements, uncorrected is -1725 meV per atom.

The structure belongs to space group P4/nmm (No. 129, origin choice 2); the cell edges are 3.960, 3.960 and 13.326 Å and the angles 90.00°, 90.00° and 90.00°. The inequivalent atoms are Ce at (0.250, 0.250, 0.092), Bi at (0.250, 0.250, 0.620), S at (0.250, 0.250, 0.386), S at (0.250, 0.250, 0.816) and O at (0.250, 0.750, 0.000).